Record 1
## PrSm3Dy7 (PBE)

Data for PrSm3Dy7 after structural relaxation.

Properties
The formation energy comes out at 0.1424 eV per atom. The value obtained for the calculated total energy is -4.508 eV per atom.

a b c (Å): 5.5646 10.0094 8.9273
angles (deg): 105.47 128.54 90.01
Last column: nearest neighbours and their distance in Å.
Fractional coordinates of all 11 atoms:
Pr 0.5000 0.5000 0.5000  2 Sm 3.49, 10 Dy 3.55-3.84
Sm 0.2808 0.9984 0.7813  1 Sm 3.04, 3 Dy 3.35-3.41
Sm 0.0000 0.5000 0.0000  2 Pr 3.49, 10 Dy 3.53-3.84
Sm 0.7192 0.0016 0.2187  1 Sm 3.04, 3 Dy 3.35-3.41
Dy 0.9197 0.8304 0.9197  3 Dy 3.19-3.31, 5 Sm 3.54-3.55
Dy 0.8543 0.7114 0.3541  3 Dy 3.31-3.57, 2 Sm 3.35-3.36
Dy 0.6781 0.3596 0.1780  5 Dy 3.31-3.57, 3 Sm 3.53-3.69, 2 Pr 3.55
Dy 0.3219 0.6404 0.8220  5 Dy 3.31-3.57, 3 Sm 3.53-3.69, 2 Pr 3.55
Dy 0.5000 0.0000 0.5000  4 Sm 3.41
Dy 0.1457 0.2886 0.6459  3 Dy 3.31-3.57, 2 Sm 3.35-3.36
Dy 0.0803 0.1696 0.0803  3 Dy 3.19-3.31, 5 Sm 3.54-3.55

=====

Record 2
## TiReN3 (PBE)

Data for TiReN3 after structural relaxation.

Properties
Its formation energy (no corrections) is -0.52 eV per atom. The value obtained for the calculated total energy is -9.584 eV per atom.

a b c (Å): 5.5747 5.5751 5.5747
angles (deg): 54.49 54.48 54.49
Last column: nearest neighbours and their distance in Å.
Fractional coordinates of all 10 atoms:
Re 0.5019 0.5021 0.5019  6 N 1.94-2.14
Re 0.0019 0.0021 0.0019  6 N 1.94-2.14
N 0.7750 0.1159 0.4097  2 Re 1.95-2.14, 2 Ti 2.05-2.13
N 0.2749 0.9095 0.6160  2 Re 1.94-2.14, 2 Ti 2.05-2.13
N 0.6158 0.2751 0.9098  2 Re 1.94-2.14, 2 Ti 2.05-2.13
N 0.1160 0.4095 0.7749  2 Re 1.94-2.14, 2 Ti 2.05-2.13
N 0.9098 0.6159 0.2750  2 Re 1.95-2.14, 2 Ti 2.05-2.13
N 0.4098 0.7751 0.1158  2 Re 1.94-2.14, 2 Ti 2.05-2.13
Ti 0.1973 0.1974 0.1975  6 N 2.05-2.13
Ti 0.6975 0.6974 0.6973  6 N 2.05-2.13

=====

Record 3
## AlH4Pd7 (PBE)

Data for AlH4Pd7 after structural relaxation.

Properties
The value obtained for the calculated total energy is -4.488 eV per atom.

a b c (Å): 4.7313 5.3041 7.0050
angles (deg): 84.73 70.26 63.51
Last column: nearest neighbours and their distance in Å.
Fractional coordinates of all 12 atoms:
Al 0.0000 0.0000 0.0000  6 Pd 2.35-2.58
H 0.6330 0.2077 0.5264  2 Pd 1.75-1.82
H 0.3670 0.7923 0.4736  2 Pd 1.75-1.82
H 0.7194 0.8027 0.7585  3 Pd 1.69-1.88
H 0.2806 0.1973 0.2415  3 Pd 1.69-1.88
Pd 0.8360 0.8239 0.5042  2 H 1.69-1.82
Pd 0.1640 0.1761 0.4958  2 H 1.69-1.82
Pd 0.1615 0.5495 0.1275  1 H 1.88
Pd 0.8385 0.4505 0.8725  1 H 1.88
Pd 0.3394 0.6209 0.7003  1 H 1.75
Pd 0.5000 0.0000 0.0000  2 H 1.79
Pd 0.6606 0.3791 0.2997  1 H 1.75

=====

Record 4
## NaTa2InBi (PBE)

Data for NaTa2InBi after structural relaxation.

Properties
The formation energy comes out at 1.9449 eV per atom. The value obtained for the calculated total energy is -4.384 eV per atom.

a b c (Å): 5.0787 5.1202 5.0787
angles (deg): 90.00 90.00 90.00
Last column: nearest neighbours and their distance in Å.
Fractional coordinates of all 5 atoms:
Na 0.0000 0.0000 0.0000  4 Ta 2.54, 2 In 2.56
In 0.0000 0.5000 0.0000  2 Na 2.56
Bi 0.5000 0.5000 0.5000  4 In 3.59, 8 Ta 3.61
Ta 0.0000 0.0000 0.5000  2 Na 2.54
Ta 0.5000 0.0000 0.0000  2 Na 2.54

=====

Record 5
## ScInF2 (PBE)

Data for ScInF2 after structural relaxation.

Properties
Its formation energy (no corrections) is -2.28 eV per atom. Its distance to the lowest polymorph of the same formula is 0 meV per atom. The value obtained for the calculated total energy is -5.478 eV per atom.

a b c (Å): 9.5112 9.5112 9.5112
angles (deg): 19.84 19.84 19.84
Last column: nearest neighbours and their distance in Å.
Fractional coordinates of all 4 atoms:
Sc 0.5000 0.5000 0.5000  6 F 2.18
F 0.8720 0.8720 0.8720  3 Sc 2.18
F 0.1280 0.1280 0.1280  3 Sc 2.18
In 0.0000 0.0000 0.0000  6 In 3.28, 2 F 3.58

=====

Record 6
## SrLiPuSe3 (PBE)

Data for SrLiPuSe3 after structural relaxation.

Properties
Its formation energy (no corrections) is -1.59 eV per atom. The value obtained for the calculated total energy is -6.316 eV per atom.

a b c (Å): 4.2062 8.6994 9.0513
angles (deg): 102.82 90.00 90.00
Last column: nearest neighbours and their distance in Å.
Fractional coordinates of all 12 atoms:
Sr 0.7500 0.8138 0.7656  7 Se 3.20-3.28, 1 Li 3.48
Sr 0.2500 0.1862 0.2344  7 Se 3.20-3.28, 1 Li 3.48
Li 0.2500 0.0858 0.5857  4 Se 2.52-2.55
Li 0.7500 0.9142 0.4143  4 Se 2.52-2.55
Pu 0.2500 0.6694 0.1634  6 Se 2.91-2.92
Pu 0.7500 0.3306 0.8366  6 Se 2.91-2.92
Se 0.2500 0.7865 0.4910  3 Li 2.55
Se 0.7500 0.8925 0.1324  1 Li 2.52
Se 0.7500 0.4389 0.1658  3 Pu 2.91-2.92, 2 Sr 3.20
Se 0.7500 0.2135 0.5090  3 Li 2.55
Se 0.2500 0.5611 0.8342  3 Pu 2.91-2.92, 2 Sr 3.20
Se 0.2500 0.1075 0.8676  1 Li 2.52

=====

Record 7
## MoRu2Rh6 (PBE)

Data for MoRu2Rh6 after structural relaxation.

Properties
The formation energy comes out at -0.0481 eV per atom. The value obtained for the calculated total energy is -8.214 eV per atom.

a b c (Å): 3.8449 4.7238 8.1499
angles (deg): 73.45 76.36 65.98
Last column: nearest neighbours and their distance in Å.
Fractional coordinates of all 9 atoms:
Mo 0.0000 0.5000 0.5000  8 Rh 2.68-2.72, 4 Ru 2.72
Ru 0.3345 0.6082 0.7228  10 Rh 2.69-2.75, 2 Mo 2.72
Ru 0.6655 0.3918 0.2772  10 Rh 2.69-2.75, 2 Mo 2.72
Rh 0.6663 0.7197 0.9477  3 Ru 2.69-2.73, 9 Rh 2.70-2.78
Rh 0.3337 0.2803 0.0523  3 Ru 2.69-2.73, 9 Rh 2.70-2.78
Rh 0.9999 0.8277 0.1724  1 Mo 2.68, 3 Ru 2.69-2.73, 8 Rh 2.71-2.82
Rh 0.3334 0.9410 0.3921  5 Rh 2.69-2.78, 4 Ru 2.71-2.75, 3 Mo 2.71-2.72
Rh 0.0001 0.1723 0.8276  1 Mo 2.68, 3 Ru 2.69-2.73, 8 Rh 2.71-2.82
Rh 0.6666 0.0590 0.6079  5 Rh 2.69-2.78, 4 Ru 2.71-2.75, 3 Mo 2.71-2.72

=====

Record 8
## PuTiIr2 (PBE)

Data for PuTiIr2 after structural relaxation.

Properties
The formation energy comes out at -0.6452 eV per atom. Its distance to the lowest polymorph of the same formula is 0 meV per atom. The value obtained for the calculated total energy is -10.632 eV per atom.

a b c (Å): 3.0394 3.0394 7.4934
angles (deg): 90.00 90.00 90.00
Last column: nearest neighbours and their distance in Å.
Fractional coordinates of all 4 atoms:
Ir 0.0000 0.0000 0.7939  4 Ti 2.65
Ir 0.0000 0.0000 0.2061  4 Ti 2.65
Ti 0.5000 0.5000 0.0000  8 Ir 2.65
Pu 0.5000 0.5000 0.5000  4 Pu 3.04, 8 Ir 3.08

=====

Record 9
## Pu7SbCl12 (PBE)

Data for Pu7SbCl12 after structural relaxation.

Properties
Its formation energy (no corrections) is -1.65 eV per atom. The value obtained for the calculated total energy is -7.983 eV per atom.

a b c (Å): 9.2681 9.2681 9.2681
angles (deg): 107.93 107.93 107.93
Last column: nearest neighbours and their distance in Å.
Fractional coordinates of all 20 atoms:
Pu 0.9634 0.6395 0.8678  5 Cl 2.82-2.86, 1 Sb 3.05
Pu 0.3605 0.1322 0.0366  5 Cl 2.82-2.86, 1 Sb 3.05
Pu 0.1322 0.0366 0.3605  5 Cl 2.82-2.86, 1 Sb 3.05
Pu 0.5000 0.5000 0.5000  6 Cl 2.81
Pu 0.8678 0.9634 0.6395  5 Cl 2.82-2.86, 1 Sb 3.05
Pu 0.6395 0.8678 0.9634  5 Cl 2.82-2.86, 1 Sb 3.05
Pu 0.0366 0.3605 0.1322  5 Cl 2.82-2.86, 1 Sb 3.05
Sb 0.0000 0.0000 0.0000  6 Pu 3.05
Cl 0.9201 0.3047 0.7882  3 Pu 2.82-2.85
Cl 0.6953 0.2118 0.0799  3 Pu 2.82-2.85
Cl 0.4597 0.1654 0.3741  3 Pu 2.81-2.86
Cl 0.8346 0.6259 0.5403  3 Pu 2.81-2.86
Cl 0.2118 0.0799 0.6953  3 Pu 2.82-2.85
Cl 0.6259 0.5403 0.8346  3 Pu 2.81-2.86
Cl 0.3741 0.4597 0.1654  3 Pu 2.81-2.86
Cl 0.7882 0.9201 0.3047  3 Pu 2.82-2.85
Cl 0.1654 0.3741 0.4597  3 Pu 2.81-2.86
Cl 0.5403 0.8346 0.6259  3 Pu 2.81-2.86
Cl 0.3047 0.7882 0.9201  3 Pu 2.82-2.85
Cl 0.0799 0.6953 0.2118  3 Pu 2.82-2.85

=====

Record 10
## CuSnNO2 (PBE)

Data for CuSnNO2 after structural relaxation.

Properties
Its formation energy (no corrections) is 0.37 eV per atom. The value obtained for the calculated total energy is -4.893 eV per atom.

a b c (Å): 4.0280 4.0280 4.1686
angles (deg): 90.00 90.00 90.00
Last column: nearest neighbours and their distance in Å.
Fractional coordinates of all 5 atoms:
O 0.0000 0.5000 0.0000  2 Sn 2.01
O 0.5000 0.0000 0.0000  2 Sn 2.01
Sn 0.0000 0.0000 0.0000  4 O 2.01, 2 N 2.08
Cu 0.5000 0.5000 0.5000  4 N 2.85, 8 O 2.90
N 0.0000 0.0000 0.5000  2 Sn 2.08

=====

Record 11
## LiBrCl (PBE)

Data for LiBrCl after structural relaxation.

Properties
Its formation energy (no corrections) is -0.82 eV per atom. Its distance to the lowest polymorph of the same formula is 193 meV per atom. The value obtained for the calculated total energy is -2.631 eV per atom.

a b c (Å): 6.7098 5.8302 4.3741
angles (deg): 80.86 59.08 40.06
Last column: nearest neighbours and their distance in Å.
Fractional coordinates of all 3 atoms:
Br 0.0318 0.0318 0.9682  2 Li 2.57, 1 Cl 2.83
Cl 0.2906 0.2906 0.7094  2 Li 2.36
Li 0.6777 0.6777 0.3223  2 Cl 2.36, 2 Br 2.57

=====

Record 12
## K2BaY (PBE)

Data for K2BaY after structural relaxation.

Properties
The formation energy comes out at 0.3889 eV per atom. Its distance to the lowest polymorph of the same formula is 126 meV per atom. The value obtained for the calculated total energy is -2.257 eV per atom.

a b c (Å): 3.9678 3.9678 14.7902
angles (deg): 90.00 90.00 116.10
Last column: nearest neighbours and their distance in Å.
Fractional coordinates of all 4 atoms:
Ba 0.5000 0.5000 0.7500  6 Ba 3.97-4.20
K 0.0000 0.0000 0.0170  6 K 3.97-4.20, 2 Y 4.04
K 0.0000 0.0000 0.4830  6 K 3.97-4.20, 2 Y 4.04
Y 0.5000 0.5000 0.2500  6 Y 3.97-4.20, 4 K 4.04